1.
## Rb6Bi3I14 (GGA-PBE)

Data for a geometry-optimized Rb6Bi3I14 structure.

The space group is P3 (No. 143) and the conventional cell measures 13.8739, 13.8739 and 6.9606 Å, with angles of 90.00, 90.00 and 120.00 degrees. Symmetry generates all atoms from Rb at (0.0281, 0.5572, 0.0000), Rb at (0.3041, 0.1068, 0.5010), Bi at (0.0000, 0.0000, 0.8623), Bi at (0.3333, 0.6667, 0.3616), Bi at (0.6667, 0.3333, 0.2558), I at (0.0000, 0.0000, 0.3348), I at (0.0812, 0.8388, 0.8002), I at (0.1768, 0.4234, 0.2998), I at (0.3333, 0.6667, 0.8321), I at (0.4483, 0.1959, 0.0174) and I at (0.5274, 0.4127, 0.4925).

Its total moment is 0.03 μB/atom. Its uncorrected formation energy is -0.944 eV/atom.

2.
## Rb4BiI6 (GGA-PBE)

Data for a geometry-optimized Rb4BiI6 structure.

The space group is P4/mnc (No. 128) and the conventional cell measures 10.1191, 10.1191 and 10.2485 Å, with angles of 90.00, 90.00 and 90.00 degrees. Symmetry generates all atoms from Rb at (0.1640, 0.3360, 0.2500), Bi at (0.0000, 0.0000, 0.0000), I at (0.0000, 0.0000, 0.3012) and I at (0.1127, 0.6792, 0.0000).

Its total moment is 0.09 μB/atom. Its uncorrected formation energy is -1.100 eV/atom.

Question: total moment of number 2 (Rb4BiI6)?
Answer: 0.09 μB/atom